[1]
Material: PrSiGeO6
Method: DFT, PBE-GGA
State: relaxed

```
PrSiGeO6
1.0
4.922 0.000 0.000
2.461 4.263 0.000
-0.001 0.000 5.176
O Pr Si Ge
6 1 1 1
Cartesian
3.324 2.620 1.557
0.991 1.570 1.557
3.930 1.570 3.620
1.855 0.074 3.620
1.597 2.619 3.620
3.066 0.074 1.556
4.921 0.000 5.177
2.460 1.421 2.588
4.922 2.843 2.589
```

Summary:
VASP energy: -7.2632 eV per atom

---

[2]
Material: Pr8Co2S
Method: DFT, PBE-GGA
State: relaxed

```
Pr8Co2S
1.0
-3.646 -0.335 1.233
2.390 -6.926 5.181
3.469 6.718 6.030
Pr Co S
8 2 1
Cartesian
-0.142 -2.666 4.905
2.355 2.123 7.539
0.591 -1.354 1.380
1.208 4.330 4.748
1.499 0.602 4.594
1.005 -4.873 7.697
0.714 -1.145 7.851
1.622 0.811 11.065
2.356 -2.901 6.176
-0.143 2.359 6.269
-1.823 -0.168 0.617
```

Summary:
VASP energy: -5.4762 eV per atom

---

[3]
Material: Nd8DyEr6
Method: DFT, PBE-GGA
State: relaxed

```
Nd8DyEr6
1.0
9.834 0.000 0.000
4.917 8.517 0.000
4.917 2.839 5.973
Nd Er Dy
8 6 1
Cartesian
6.993 3.300 2.894
10.472 2.028 3.078
9.196 9.327 2.894
13.314 4.406 2.894
9.834 5.678 1.420
6.354 6.950 3.078
12.675 8.055 3.078
9.834 5.678 4.552
5.970 5.298 0.187
2.261 2.522 0.187
13.698 6.058 5.786
13.148 10.658 5.786
17.407 8.834 5.786
6.520 0.697 0.187
0.000 0.000 0.000
```

Summary:
VASP energy: -4.5013 eV per atom

---

Q: Which of these has the lowest VASP energy?
A: PrSiGeO6

---

Q: Among the records above, which one has the lowest VASP energy?
A: PrSiGeO6